Ac8PdRuPt2 GGA-PBE relaxed; spin magnetization = 0.00 μB per cell; VASP energy = -66.3 eV/f.u.
1.0
7.127 0.000 0.000
0.000 8.880 0.000
-0.050 0.000 7.246
Ac Pd Ru Pt
8 1 1 2
direct
0.229 0.239 0.331
0.229 0.761 0.331
0.256 0.000 0.828
0.261 0.500 0.838
0.739 0.500 0.162
0.744 0.000 0.172
0.771 0.239 0.669
0.771 0.761 0.669
0.000 0.500 0.500
0.000 0.000 0.500
0.500 0.250 0.000
0.500 0.750 0.000